Material: NaHCl
Method: DFT, PBE-GGA
State: relaxed

The uncorrected energy comes out at -2.59 eV/atom. The value obtained for the size of the total moment is 1.0 μB/f.u. Its volume is 233 Å³/cell.

It has space group C2/m (No. 12), with a = 8.4194 Å, b = 4.9007 Å, c = 5.6450 Å, α = 90.00°, β = 90.02° and γ = 90.00°. The inequivalent atoms are Na at (0.1671, 0.0000, 0.2500), H at (0.0011, 0.5000, 0.7489) and Cl at (0.1674, 0.0000, 0.7501).